Record 1
Here is a relaxed structure of Cs6Ag2I3Cl from Alexandria via LeMat-Bulk. Energies are from PBE.

Output
Space group = C2/m, No. 12
E_form (uncorrected) = -1.0622 eV/atom
Crystal system = monoclinic
Magnetization = 0.00 μB per atom

The structure in POSCAR format:
```
Cs6Ag2I3Cl
1.0
9.409 0.000 -0.001
-4.702 8.150 -0.001
-1.571 -2.721 8.857
Cs Ag I Cl
6 2 3 1
Cartesian
0.144 5.431 6.748 Cs
3.215 5.567 2.109 Cs
4.632 2.839 6.748 Cs
2.991 -0.001 2.108 Cs
-1.496 2.590 2.108 Cs
-0.080 -0.138 6.746 Cs
4.696 2.722 -0.001 Ag
0.010 5.428 -0.001 Ag
-3.079 5.399 4.428 I
1.568 2.715 4.428 I
6.215 0.031 4.428 I
0.000 0.000 0.000 Cl
```

---

Record 2
Here is a relaxed structure of Cs3AgI2Cl9 from Alexandria via LeMat-Bulk. Energies are from PBE.

Output
Space group = P-3m1, No. 164
E_form (uncorrected) = -0.9112 eV/atom
Crystal system = trigonal
Magnetization = 0.00 μB per atom

The structure in POSCAR format:
```
Cs3AgI2Cl9
1.0
7.826 0.000 0.000
-3.913 6.777 0.000
0.000 0.000 9.537
Cl I Cs Ag
9 2 3 1
Cartesian
1.831 1.057 6.286 Cl
-1.956 3.389 0.000 Cl
3.913 0.000 0.000 Cl
1.956 3.389 0.000 Cl
0.000 2.114 3.251 Cl
-2.082 5.720 3.251 Cl
5.995 1.057 6.286 Cl
3.913 4.664 6.286 Cl
2.082 5.720 3.251 Cl
0.000 4.518 1.588 I
3.913 2.259 7.949 I
0.000 0.000 0.000 Cs
0.000 4.518 6.098 Cs
3.913 2.259 3.439 Cs
0.000 0.000 4.769 Ag
```

---

Record 3
Here is a relaxed structure of Cs4AgI2Cl from Alexandria via LeMat-Bulk. Energies are from PBE.

Output
Space group = P2/m, No. 10
E_form (uncorrected) = -1.2301 eV/atom
Crystal system = monoclinic
Magnetization = 0.00 μB per atom

The structure in POSCAR format:
```
Cs4AgI2Cl
1.0
5.367 0.000 0.000
0.000 9.352 0.188
0.000 -3.247 8.756
Cl Ag I Cs
1 1 2 4
Cartesian
2.684 4.676 0.094 Cl
0.000 0.000 0.000 Ag
2.684 -1.624 4.378 I
0.000 3.052 4.472 I
2.684 1.641 2.122 Cs
0.000 6.122 2.165 Cs
2.684 4.464 6.822 Cs
0.000 -0.017 6.779 Cs
```

---

Record 4
Here is a relaxed structure of Cs8AgI4Cl3 from Alexandria via LeMat-Bulk. Energies are from PBE.

Output
Space group = R-3m, No. 166
E_form (uncorrected) = -1.4890 eV/atom
Crystal system = trigonal
Magnetization = 0.00 μB per atom

The structure in POSCAR format:
```
Cs8AgI4Cl3
1.0
10.638 0.000 0.000
0.000 10.683 0.024
-5.319 -5.315 7.527
I Cs Cl Ag
4 8 3 1
Cartesian
2.660 -2.658 3.764 I
-2.660 -2.658 3.764 I
5.319 0.000 0.000 I
0.000 0.000 0.000 I
2.581 2.576 7.405 Cs
0.000 5.151 3.751 Cs
-2.581 2.576 7.405 Cs
2.738 2.792 0.146 Cs
5.319 5.178 3.654 Cs
0.000 0.190 3.897 Cs
5.319 0.217 3.800 Cs
7.901 2.792 0.146 Cs
2.660 2.684 3.776 Cl
-2.660 2.684 3.776 Cl
5.319 5.342 0.012 Cl
0.000 5.342 0.012 Ag
```

---

Record 5
Here is a relaxed structure of Cs6Ag2ICl3 from Alexandria via LeMat-Bulk. Energies are from PBE.

Output
Space group = C2/m, No. 12
E_form (uncorrected) = -1.1989 eV/atom
Crystal system = monoclinic
Magnetization = 0.00 μB per atom

The structure in POSCAR format:
```
Cs6Ag2ICl3
1.0
-0.275 1.954 -4.793
-10.550 -0.830 0.267
2.329 9.500 6.541
Cs Cl Ag I
6 3 2 1
Cartesian
-5.744 3.856 -0.901 Cs
-0.145 4.542 -0.943 Cs
-2.752 6.768 2.916 Cs
-0.772 11.140 1.782 Cs
-8.351 6.082 2.958 Cs
-7.724 -0.516 0.233 Cs
-5.413 0.562 -2.263 Cl
-0.423 7.834 0.414 Cl
-8.074 2.791 1.601 Cl
-2.816 3.238 1.481 Ag
-5.681 7.386 0.533 Ag
-0.138 0.977 -2.397 I
```

---

Record 6
Here is a relaxed structure of Cs6AgI3Cl2 from Alexandria via LeMat-Bulk. Energies are from PBE.

Output
Space group = C2/m, No. 12
E_form (uncorrected) = -1.4033 eV/atom
Crystal system = monoclinic
Magnetization = 0.00 μB per atom

The structure in POSCAR format:
```
Cs6AgI3Cl2
1.0
9.256 0.000 0.000
-4.626 8.017 0.000
-1.546 -2.676 8.753
I Cs Ag Cl
3 6 1 2
Cartesian
1.542 2.670 4.376 I
-3.152 5.381 4.376 I
6.236 -0.041 4.376 I
3.019 5.228 1.998 Cs
3.224 0.000 2.019 Cs
4.695 2.548 6.733 Cs
-0.140 5.340 6.733 Cs
-1.611 2.793 2.019 Cs
0.065 0.113 6.754 Cs
0.000 0.000 0.000 Ag
-0.009 5.351 0.000 Cl
4.639 2.666 0.000 Cl
```